# EuY2Co

An optimized crystal structure of EuY2Co (PBE, Alexandria).

## Properties
Total magnetization: 8.3 μB per formula unit
Energy above the lowest structure with this stoichiometry: 0.000 eV/atom
DOS at the Fermi energy: 0.92 states/eV/atom
ΔE_f: -0.032 eV/atom

Cell lengths 3.454, 3.454, 9.137 Å; angles 90.00, 90.00, 90.00 degrees
Element x y z (fractional)
Eu: 0.000 0.000 0.000
Y: 0.500 0.500 0.325
Y: 0.500 0.500 0.675
Co: 0.000 0.000 0.500